Entry P
# YZr3I

YZr3I after structural relaxation (PBE-GGA, Alexandria).

Lattice parameters (Å, degrees): 5.349 5.349 5.349 90.00 90.00 90.00
Atoms (fractional coordinates):
Y 0.000 0.000 0.000
Zr 0.000 0.000 0.500
Zr 0.000 0.500 0.000
Zr 0.500 0.000 0.000
I 0.500 0.500 0.500

Output
Total magnetic moment ... 0.225 μB per atom

***

Entry Q
# YZr3I

YZr3I after structural relaxation (PBE-GGA, Alexandria).

Lattice parameters (Å, degrees): 5.298 5.298 5.298 90.00 90.00 90.00
Atoms (fractional coordinates):
Y 0.000 0.000 0.000
Zr 0.000 0.500 0.500
Zr 0.500 0.000 0.500
Zr 0.500 0.500 0.000
I 0.500 0.500 0.500

Output
Total magnetic moment ... 0.000 μB per atom

***

Energy ordering: entry Q at the bottom, the next structure 78.5 kJ/mol of atoms above.